Record 1
## CeNi3Ge3 (GGA-PBE)

Data for crystalline CeNi3Ge3 at its relaxed geometry.

crystal system	cubic
E_form	-212.0	meV per atom

a b c (Å): 6.4241 6.4241 6.4241
angles (deg): 90.00 90.00 90.00
Site moments in Bohr magnetons follow the coordinates.
Sites, in units of the cell vectors:
Ce1 0.5000 0.5000 0.5000  1.01
Ce2 0.0000 0.0000 0.0000  1.01
Ge1 0.0000 0.7500 0.5000  0.01
Ge2 0.0000 0.2500 0.5000  0.01
Ge3 0.7500 0.5000 0.0000  0.01
Ge4 0.5000 0.0000 0.2500  0.01
Ge5 0.2500 0.5000 0.0000  0.01
Ge6 0.5000 0.0000 0.7500  0.01
Ni1 0.0000 0.5000 0.7500  0.03
Ni2 0.5000 0.7500 0.0000  0.03
Ni3 0.0000 0.5000 0.2500  0.03
Ni4 0.2500 0.0000 0.5000  0.03
Ni5 0.7500 0.0000 0.5000  0.03
Ni6 0.5000 0.2500 0.0000  0.03



Record 2
## CeNiGe (GGA-PBE)

Data for crystalline CeNiGe at its relaxed geometry.

crystal system	tetragonal
E_form	-178.8	meV per atom

a b c (Å): 3.8680 3.8680 4.9651
angles (deg): 112.92 112.92 90.00
Site moments in Bohr magnetons follow the coordinates.
Sites, in units of the cell vectors:
Ni1 0.2583 0.2583 0.5166  0.00
Ge1 0.9665 0.9665 0.9330  0.01
Ce1 0.6252 0.6252 0.2504  0.24



Record 3
## Ce2Ni12Ge7 (GGA-PBE)

Data for crystalline Ce2Ni12Ge7 at its relaxed geometry.

crystal system	hexagonal
E_form	-475.3	meV per atom

a b c (Å): 3.8525 9.4057 9.4057
angles (deg): 120.00 90.00 90.00
Sites, in units of the cell vectors:
Ge1 0.5000 0.6376 0.5691
Ge2 0.5000 0.9315 0.3624
Ge3 0.0000 0.0671 0.7881
Ge4 0.5000 0.4309 0.0685
Ge5 0.0000 0.2119 0.2790
Ge6 0.0000 0.7210 0.9329
Ge7 0.0000 0.3333 0.6667
Ni1 0.0000 0.9323 0.2132
Ni2 0.0000 0.2809 0.0677
Ni3 0.5000 0.9149 0.6153
Ni4 0.5000 0.5319 0.7606
Ni5 0.0000 0.4700 0.5212
Ni6 0.5000 0.7004 0.0851
Ni7 0.0000 0.4788 0.9488
Ni8 0.5000 0.3847 0.2996
Ni9 0.0000 0.0512 0.5300
Ni10 0.0000 0.7868 0.7191
Ni11 0.5000 0.2288 0.4681
Ni12 0.5000 0.2394 0.7712
Ce1 0.0000 0.6667 0.3333
Ce2 0.5000 0.0000 0.0000



Record 4
## CeNi12Ge4 (GGA-PBE)

Data for crystalline CeNi12Ge4 at its relaxed geometry.

crystal system	cubic
E_form	123.3	meV per atom

a b c (Å): 6.8747 6.8747 6.8747
angles (deg): 109.47 109.47 109.47
Site moments in Bohr magnetons follow the coordinates.
Sites, in units of the cell vectors:
Ce1 0.0000 0.0000 0.0000  -0.44
Ge1 0.5000 0.0000 0.0000  0.00
Ge2 0.0000 0.0000 0.5000  0.00
Ge3 0.0000 0.5000 0.0000  0.00
Ge4 0.5000 0.5000 0.5000  0.00
Ni1 0.1529 0.3541 0.5070  0.01
Ni2 0.5070 0.1529 0.3541  0.01
Ni3 0.7988 0.1529 0.6459  0.01
Ni4 0.3541 0.5070 0.1529  0.01
Ni5 0.1529 0.6459 0.7988  0.01
Ni6 0.8471 0.6459 0.4930  0.01
Ni7 0.2012 0.8471 0.3541  0.01
Ni8 0.4930 0.8471 0.6459  0.01
Ni9 0.3541 0.2012 0.8471  0.01
Ni10 0.6459 0.4930 0.8471  0.01
Ni11 0.6459 0.7988 0.1529  0.01
Ni12 0.8471 0.3541 0.2012  0.01



Record 5
## Ce4NiGe (GGA-PBE)

Data for crystalline Ce4NiGe at its relaxed geometry.

crystal system	monoclinic
E_form	-343.7	meV per atom

a b c (Å): 5.5073 7.7002 7.9747
angles (deg): 112.00 101.19 108.25
Sites, in units of the cell vectors:
Ge1 0.3698 0.6198 0.2396
Ge2 0.6302 0.3802 0.7604
Ce1 0.3140 0.8980 0.6093
Ce2 0.2775 0.6217 0.8446
Ce3 0.0671 0.2230 0.8446
Ce4 0.7952 0.7113 0.6093
Ce5 0.7225 0.3783 0.1554
Ce6 0.2048 0.2887 0.3907
Ce7 0.9329 0.7770 0.1554
Ce8 0.6860 0.1020 0.3907
Ni1 0.2620 0.0120 0.0241
Ni2 0.7380 0.9880 0.9759



Record 6
## CeNi9Ge4 (GGA-PBE)

Data for crystalline CeNi9Ge4 at its relaxed geometry.

crystal system	tetragonal
E_form	-399.0	meV per atom

a b c (Å): 8.1425 8.1425 8.1425
angles (deg): 121.47 121.47 87.47
Site moments in Bohr magnetons follow the coordinates.
Sites, in units of the cell vectors:
Ni1 0.2038 0.0674 0.2711  -0.01
Ni2 0.3079 0.8079 0.7513  -0.01
Ni3 0.9326 0.2038 0.1364  -0.01
Ni4 0.0566 0.5566 0.2487  -0.01
Ni5 0.0000 0.5000 0.5000  -0.02
Ni6 0.8079 0.0566 0.5000  -0.01
Ni7 0.5566 0.3079 0.5000  -0.01
Ni8 0.7962 0.9326 0.7289  -0.01
Ni9 0.9434 0.4434 0.7513  -0.01
Ni10 0.4326 0.2962 0.7289  -0.01
Ni11 0.4434 0.6921 0.5000  -0.01
Ni12 0.7038 0.4326 0.1364  -0.01
Ni13 0.5000 0.0000 0.5000  -0.02
Ni14 0.2962 0.5674 0.8636  -0.01
Ni15 0.5674 0.7038 0.2711  -0.01
Ni16 0.0674 0.7962 0.8636  -0.01
Ni17 0.1921 0.9434 0.5000  -0.01
Ni18 0.6921 0.1921 0.2487  -0.01
Ge1 0.2951 0.4483 0.5000  0.00
Ge2 0.4483 0.9483 0.1532  0.00
Ge3 0.0517 0.2049 0.5000  0.00
Ge4 0.5517 0.0517 0.8468  0.00
Ge5 0.7049 0.5517 0.5000  0.00
Ge6 0.2049 0.7049 0.1532  0.00
Ge7 0.7951 0.2951 0.8468  0.00
Ge8 0.9483 0.7951 0.5000  0.00
Ce1 0.2500 0.2500 0.0000  -0.48
Ce2 0.7500 0.7500 0.0000  -0.48



Record 7
## CeNiGe2 (GGA-PBE)

Data for crystalline CeNiGe2 at its relaxed geometry.

crystal system	monoclinic
E_form	-723.7	meV per atom

a b c (Å): 4.2328 4.2283 8.5717
angles (deg): 90.00 104.29 90.00
Sites, in units of the cell vectors:
Ce1 0.1077 0.7500 0.2167
Ce2 0.8923 0.2500 0.7833
Ge1 0.5399 0.2500 0.0840
Ge2 0.2503 0.2500 0.4995
Ge3 0.4601 0.7500 0.9160
Ge4 0.7497 0.7500 0.5005
Ni1 0.3176 0.7500 0.6368
Ni2 0.6824 0.2500 0.3632



Record 8
## Ce2Ni15Ge2 (GGA-PBE)

Data for crystalline Ce2Ni15Ge2 at its relaxed geometry.

crystal system	trigonal
E_form	-246.6	meV per atom

a b c (Å): 6.3312 6.3312 6.3312
angles (deg): 82.67 82.67 82.67
Site moments in Bohr magnetons follow the coordinates.
Sites, in units of the cell vectors:
Ni1 0.3059 0.6941 0.0000  0.23
Ni2 0.0000 0.5000 0.0000  0.22
Ni3 0.6567 0.6567 0.1565  0.22
Ni4 0.3059 0.0000 0.6941  0.23
Ni5 0.6941 0.3059 0.0000  0.23
Ni6 0.6567 0.1565 0.6567  0.22
Ni7 0.5000 0.0000 0.0000  0.22
Ni8 0.3433 0.8435 0.3433  0.22
Ni9 0.0000 0.6941 0.3059  0.23
Ni10 0.3433 0.3433 0.8435  0.22
Ni11 0.6941 0.0000 0.3059  0.23
Ni12 0.1565 0.6567 0.6567  0.22
Ni13 0.8435 0.3433 0.3433  0.22
Ni14 0.0000 0.3059 0.6941  0.23
Ni15 0.0000 0.0000 0.5000  0.22
Ce1 0.3496 0.3496 0.3496  -0.18
Ce2 0.6504 0.6504 0.6504  -0.18
Ge1 0.8959 0.8959 0.8959  0.00
Ge2 0.1041 0.1041 0.1041  0.00



Number 1: V 265.1 Å³ per cell. Number 2: V 62.0 Å³ per cell. Number 3: V 295.2 Å³ per cell. Number 4: V 250.1 Å³ per cell. Number 5: V 278.5 Å³ per cell. Number 6: V 372.9 Å³ per cell. Number 7: V 148.7 Å³ per cell. Number 8: V 248.0 Å³ per cell.